This record from Alexandria via LeMat-Bulk describes RbLi2S2 after structural relaxation. The functional is PBE-GGA.

Calculated values
E_form (uncorrected): -376 kJ/mol of formula units
magnetic moment: 0.00 μB/cell
volume: 21.20 Å³ per atom
final energy: -3.3898 eV/atom
mass density: 2.6 g/cm3

Unit cell a=8.288 b=8.288 c=3.086 alpha=90.00 beta=90.00 gamma=90.00
Sites, in units of the cell vectors:
Li 0.110 0.610 0.500
Li 0.390 0.110 0.500
Li 0.610 0.890 0.500
Li 0.890 0.390 0.500
Rb 0.500 0.500 0.000
Rb 0.000 0.000 0.000
S 0.152 0.348 0.000
S 0.348 0.848 0.000
S 0.652 0.152 0.000
S 0.848 0.652 0.000

***

This record from Alexandria via LeMat-Bulk describes RbLiS2 after structural relaxation. The functional is PBE-GGA.

Calculated values
E_form (uncorrected): -65 kJ/mol of formula units
magnetic moment: 2.00 μB/cell
volume: 30.55 Å³ per atom
final energy: -2.9534 eV/atom
mass density: 2.1 g/cm3

Unit cell a=8.371 b=8.371 c=8.371 alpha=29.03 beta=29.03 gamma=29.03
Sites, in units of the cell vectors:
S 0.874 0.874 0.874
S 0.126 0.126 0.126
Li 0.500 0.500 0.500
Rb 0.000 0.000 0.000

***

This record from Alexandria via LeMat-Bulk describes Rb2LiS after structural relaxation. The functional is PBE-GGA.

Calculated values
E_form (uncorrected): -283 kJ/mol of formula units
magnetic moment: 0.00 μB/cell
volume: 48.01 Å³ per atom
final energy: -2.7283 eV/atom
mass density: 1.8 g/cm3

Unit cell a=12.976 b=12.976 c=9.455 alpha=46.67 beta=46.67 gamma=90.00
Sites, in units of the cell vectors:
Rb 0.930 0.625 0.250
Rb 0.875 0.070 0.750
Rb 0.820 0.125 0.250
Rb 0.375 0.180 0.750
Li 0.250 0.750 0.500
Li 0.500 0.500 0.000
S 0.750 0.250 0.500
S 0.000 0.000 0.000

***

This record from Alexandria via LeMat-Bulk describes Rb2LiS after structural relaxation. The functional is PBE-GGA.

Calculated values
E_form (uncorrected): -292 kJ/mol of formula units
magnetic moment: 0.00 μB/cell
volume: 48.99 Å³ per atom
final energy: -2.7510 eV/atom
mass density: 1.8 g/cm3

Unit cell a=4.568 b=9.706 c=9.446 alpha=104.84 beta=103.99 gamma=90.00
Sites, in units of the cell vectors:
Rb 0.870 0.935 0.740
Rb 0.870 0.435 0.740
Rb 0.130 0.065 0.260
Rb 0.130 0.565 0.260
Li 0.502 0.250 0.000
Li 0.498 0.750 0.000
S 0.998 0.750 0.000
S 0.002 0.250 0.000

***

This record from Alexandria via LeMat-Bulk describes RbLi2S after structural relaxation. The functional is PBE-GGA.

Calculated values
E_form (uncorrected): -272 kJ/mol of formula units
magnetic moment: 0.00 μB/cell
volume: 37.94 Å³ per atom
final energy: -2.9358 eV/atom
mass density: 1.4 g/cm3

Unit cell a=7.542 b=7.542 c=7.544 alpha=60.01 beta=60.01 gamma=90.00
Sites, in units of the cell vectors:
Rb 0.000 0.000 0.000
Rb 0.750 0.250 0.500
S 0.500 0.500 0.000
S 0.250 0.750 0.500
Li 0.875 0.626 0.750
Li 0.375 0.624 0.750
Li 0.374 0.625 0.250
Li 0.376 0.125 0.250

***

This record from Alexandria via LeMat-Bulk describes RbLiS2 after structural relaxation. The functional is PBE-GGA.

Calculated values
E_form (uncorrected): -97 kJ/mol of formula units
magnetic moment: 2.00 μB/cell
volume: 25.12 Å³ per atom
final energy: -3.0344 eV/atom
mass density: 2.6 g/cm3

Unit cell a=5.219 b=5.219 c=5.219 alpha=60.00 beta=60.00 gamma=60.00
Sites, in units of the cell vectors:
Rb 0.500 0.500 0.500
S 0.250 0.250 0.250
S 0.750 0.750 0.750
Li 0.000 0.000 0.000

***

This record from Alexandria via LeMat-Bulk describes RbLi3S after structural relaxation. The functional is PBE-GGA.

Calculated values
E_form (uncorrected): -226 kJ/mol of formula units
magnetic moment: 0.00 μB/cell
volume: 25.71 Å³ per atom
final energy: -2.6360 eV/atom
mass density: 1.8 g/cm3

Unit cell a=5.047 b=5.047 c=5.047 alpha=90.00 beta=90.00 gamma=90.00
Sites, in units of the cell vectors:
Li 0.500 0.000 0.000
Li 0.000 0.000 0.500
Li 0.000 0.500 0.000
Rb 0.500 0.500 0.500
S 0.000 0.000 0.000

***

This record from Alexandria via LeMat-Bulk describes RbLi2S2 after structural relaxation. The functional is PBE-GGA.

Calculated values
E_form (uncorrected): -481 kJ/mol of formula units
magnetic moment: 0.96 μB/cell
volume: 21.39 Å³ per atom
final energy: -3.6061 eV/atom
mass density: 2.5 g/cm3

Unit cell a=4.332 b=4.332 c=6.471 alpha=70.44 beta=70.44 gamma=90.00
Sites, in units of the cell vectors:
Li 0.750 0.250 0.500
Li 0.250 0.750 0.500
S 0.356 0.356 0.288
S 0.644 0.644 0.712
Rb 0.000 0.000 0.000

***

This record from Alexandria via LeMat-Bulk describes RbLiS2 after structural relaxation. The functional is PBE-GGA.

Calculated values
E_form (uncorrected): -78 kJ/mol of formula units
magnetic moment: 2.00 μB/cell
volume: 33.56 Å³ per atom
final energy: -2.9866 eV/atom
mass density: 1.9 g/cm3

Unit cell a=9.590 b=9.590 c=9.590 alpha=24.59 beta=24.59 gamma=24.59
Sites, in units of the cell vectors:
Li 0.000 0.000 0.000
S 0.082 0.082 0.082
S 0.918 0.918 0.918
Rb 0.500 0.500 0.500

***

This record from Alexandria via LeMat-Bulk describes RbLi2S2 after structural relaxation. The functional is PBE-GGA.

Calculated values
E_form (uncorrected): -413 kJ/mol of formula units
magnetic moment: 0.01 μB/cell
volume: 19.35 Å³ per atom
final energy: -3.4661 eV/atom
mass density: 2.8 g/cm3

Unit cell a=7.935 b=7.935 c=3.074 alpha=90.00 beta=90.00 gamma=90.00
Sites, in units of the cell vectors:
Li 0.617 0.117 0.000
Li 0.883 0.617 0.000
Li 0.117 0.383 0.000
Li 0.383 0.883 0.000
S 0.162 0.662 0.500
S 0.838 0.338 0.500
S 0.662 0.838 0.500
S 0.338 0.162 0.500
Rb 0.500 0.500 0.000
Rb 0.000 0.000 0.000

***

This record from Alexandria via LeMat-Bulk describes RbLiS2 after structural relaxation. The functional is PBE-GGA.

Calculated values
E_form (uncorrected): -328 kJ/mol of formula units
magnetic moment: 0.00 μB/cell
volume: 25.47 Å³ per atom
final energy: -3.6337 eV/atom
mass density: 2.6 g/cm3

Unit cell a=5.035 b=5.035 c=8.791 alpha=73.36 beta=73.36 gamma=90.00
Sites, in units of the cell vectors:
S 0.421 0.625 0.250
S 0.329 0.125 0.250
S 0.875 0.579 0.750
S 0.375 0.671 0.750
Li 0.500 0.500 0.000
Li 0.250 0.750 0.500
Rb 0.000 0.000 0.000
Rb 0.750 0.250 0.500

***

This record from Alexandria via LeMat-Bulk describes RbLiSbS3 after structural relaxation. The functional is PBE-GGA.

Calculated values
E_form (uncorrected): -426 kJ/mol of formula units
magnetic moment: 0.00 μB/cell
volume: 26.22 Å³ per atom
final energy: -3.9671 eV/atom
mass density: 3.3 g/cm3

Unit cell a=4.030 b=9.047 c=9.297 alpha=111.82 beta=90.00 gamma=90.00
Sites, in units of the cell vectors:
S 0.250 0.142 0.869
S 0.250 0.794 0.450
S 0.750 0.206 0.550
S 0.250 0.525 0.837
S 0.750 0.475 0.163
S 0.750 0.858 0.131
Li 0.750 0.915 0.407
Li 0.250 0.085 0.593
Rb 0.250 0.220 0.261
Rb 0.750 0.780 0.739
Sb 0.250 0.672 0.155
Sb 0.750 0.328 0.845

***

This record from Alexandria via LeMat-Bulk describes Rb2LiScS after structural relaxation. The functional is PBE-GGA.

Calculated values
E_form (uncorrected): 24 kJ/mol of formula units
magnetic moment: 2.00 μB/cell
volume: 41.28 Å³ per atom
final energy: -2.8114 eV/atom
mass density: 2.1 g/cm3

Unit cell a=6.954 b=4.269 c=6.954 alpha=90.00 beta=90.00 gamma=90.00
Sites, in units of the cell vectors:
S 0.000 0.500 0.000
Sc 0.500 0.500 0.500
Li 0.000 0.000 0.000
Rb 0.500 0.000 0.000
Rb 0.000 0.000 0.500

***

This record from Alexandria via LeMat-Bulk describes RbLiSe2S after structural relaxation. The functional is PBE-GGA.

Calculated values
E_form (uncorrected): -56 kJ/mol of formula units
magnetic moment: 0.00 μB/cell
volume: 30.16 Å³ per atom
final energy: -2.9107 eV/atom
mass density: 3.1 g/cm3

Unit cell a=5.151 b=5.684 c=5.151 alpha=90.00 beta=90.00 gamma=90.00
Sites, in units of the cell vectors:
Se 0.500 0.000 0.000
Se 0.000 0.000 0.500
Li 0.500 0.500 0.500
S 0.000 0.000 0.000
Rb 0.000 0.500 0.000